1.
A crystal of La2YSi relaxed with PBEsol. Source: Alexandria, functional meta-GGA SCAN.

* formation energy from raw total energies: -0.183 eV/atom
* space-group type: P4/mmm (123)
* N(E_F): 1.170 states/eV/atom

Cell: 3.5385 3.5385 9.2947 Å, 90.00 90.00 90.00°
With the nearest neighbours (Å) after each atom.
Element x y z (fractional)
Si (0.5000, 0.5000, 0.0000)  8 La 3.11
La (0.0000, 0.0000, 0.1988)  4 Si 3.11
La (0.0000, 0.0000, 0.8012)  4 Si 3.11
Y (0.5000, 0.5000, 0.5000)  4 Y 3.54, 8 La 3.75

2.
A crystal of ZnH2IrSe relaxed with PBEsol. Source: Alexandria, functional meta-GGA SCAN.

* space-group type: P4/mmm (123)
* uncorrected energy: -1.6298 Ry per atom
* N(E_F): 0.305 states/eV/atom

Cell: 3.5238 3.5238 5.0044 Å, 90.00 90.00 90.00°
With the nearest neighbours (Å) after each atom.
Element x y z (fractional)
Ir (0.0000, 0.0000, 0.0000)  4 H 1.76
Se (0.0000, 0.0000, 0.5000)  4 Zn 2.49, 2 Ir 2.50
Zn (0.5000, 0.5000, 0.5000)  4 Se 2.49
H (0.0000, 0.5000, 0.0000)  2 Ir 1.76
H (0.5000, 0.0000, 0.0000)  2 Ir 1.76

3.
A crystal of Na2PPtPb relaxed with PBEsol. Source: Alexandria, functional meta-GGA SCAN.

* space-group type: P4/mmm (123)
* energy of formation: 3.432 eV per formula unit
* N(E_F): 0.420 states/eV/atom

Cell: 4.9411 5.6501 5.6501 Å, 90.00 90.00 90.00°
With the nearest neighbours (Å) after each atom.
Element x y z (fractional)
Pt (0.5000, 0.0000, 0.0000)  2 Pb 2.47
Pb (0.0000, 0.0000, 0.0000)  2 Pt 2.47
Na (0.0000, 0.5000, 0.0000)  2 Pb 2.83
Na (0.0000, 0.0000, 0.5000)  2 Pb 2.83
P (0.5000, 0.5000, 0.5000)  8 Na 3.75, 4 Pt 4.00